Entry from the Alexandria database: a geometry-optimized LiUTe4Pb2 structure (PBE-GGA).

## Properties
The value obtained for the size of the total moment is 3.001 μB/f.u. The space group is P2/m, No. 10. As for the energy relative to the elements, uncorrected: -0.53 eV per atom.

Lattice parameters (Å, degrees): 7.745 4.490 7.942 90.00 108.78 90.00
Positions (direct):
Li 0.000 0.000 0.000
U 0.500 0.500 0.000
Te 0.242 0.500 0.231
Te 0.253 0.000 0.767
Te 0.747 0.000 0.233
Te 0.758 0.500 0.769
Pb 0.000 0.500 0.500
Pb 0.500 0.000 0.500

Entry from the Alexandria database: a geometry-optimized PmY2Co structure (PBE-GGA).

## Properties
As for the formation energy: -4.9 kJ per mole of atoms. The value obtained for the size of the total moment is 0.680 μB/f.u. The relative energy among the computed polymorphs comes out at 0.078 eV per atom. The space group is P4/mmm, No. 123.

Lattice parameters (Å, degrees): 3.421 3.421 8.997 90.00 90.00 90.00
Positions (direct):
Pm 0.000 0.000 0.000
Y 0.500 0.500 0.320
Y 0.500 0.500 0.680
Co 0.000 0.000 0.500

Entry from the Alexandria database: a geometry-optimized La2Tb5Pm2 structure (PBE-GGA).

## Properties
As for the formation energy: 21.0 kJ per mole of atoms. The value obtained for the size of the total moment is 0.000 μB/f.u. The relative energy among the computed polymorphs comes out at 0.026 eV per atom. The space group is C2/m, No. 12.

Lattice parameters (Å, degrees): 11.058 11.058 8.427 100.33 100.33 18.33
Positions (direct):
La 0.183 0.183 0.146
La 0.817 0.817 0.854
Tb 0.000 0.000 0.000
Tb 0.100 0.100 0.740
Tb 0.310 0.310 0.471
Tb 0.690 0.690 0.529
Tb 0.900 0.900 0.260
Pm 0.454 0.454 0.643
Pm 0.546 0.546 0.357

Entry from the Alexandria database: a geometry-optimized NaSn2Au2 structure (PBE-GGA).

## Properties
As for the formation energy: -19.5 kJ per mole of atoms. The value obtained for the size of the total moment is 0.000 μB/f.u. The relative energy among the computed polymorphs comes out at 0.077 eV per atom. The space group is P4/mbm, No. 127.

Lattice parameters (Å, degrees): 7.851 7.851 3.788 90.00 90.00 90.00
Positions (direct):
Na 0.000 0.000 0.000
Na 0.500 0.500 0.000
Sn 0.164 0.336 0.500
Sn 0.336 0.836 0.500
Sn 0.664 0.164 0.500
Sn 0.836 0.664 0.500
Au 0.137 0.637 0.000
Au 0.363 0.137 0.000
Au 0.637 0.863 0.000
Au 0.863 0.363 0.000

Entry from the Alexandria database: a geometry-optimized Nd2Sm7Ho2 structure (PBE-GGA).

## Properties
As for the formation energy: 16.7 kJ per mole of atoms. The value obtained for the size of the total moment is 0.000 μB/f.u. The relative energy among the computed polymorphs comes out at 0.127 eV per atom. The space group is C2/m, No. 12.

Lattice parameters (Å, degrees): 6.757 6.757 8.513 99.48 99.48 88.08
Positions (direct):
Nd 0.101 0.101 0.348
Nd 0.899 0.899 0.652
Sm 0.003 0.597 0.314
Sm 0.195 0.195 0.017
Sm 0.403 0.997 0.686
Sm 0.500 0.500 0.500
Sm 0.597 0.003 0.314
Sm 0.805 0.805 0.983
Sm 0.997 0.403 0.686
Ho 0.312 0.688 0.000
Ho 0.688 0.312 0.000

Entry from the Alexandria database: a geometry-optimized BaLaIn structure (PBE-GGA).

## Properties
As for the formation energy: -30.9 kJ per mole of atoms. The value obtained for the size of the total moment is 0.000 μB/f.u. The relative energy among the computed polymorphs comes out at 0.003 eV per atom. The space group is Pnma, No. 62.

Lattice parameters (Å, degrees): 8.948 5.465 9.814 90.00 90.00 90.00
Positions (direct):
Ba 0.020 0.250 0.178
Ba 0.480 0.750 0.678
Ba 0.520 0.250 0.322
Ba 0.980 0.750 0.822
La 0.146 0.250 0.580
La 0.354 0.750 0.080
La 0.646 0.250 0.920
La 0.854 0.750 0.420
In 0.219 0.750 0.393
In 0.281 0.250 0.893
In 0.719 0.750 0.107
In 0.781 0.250 0.607

Record-wise total DFT energy (no corrections) values, in eV/atom: -4.67, -6.25, -4.51, -3.38, -4.53, -3.52
Record-wise V values, in Å³ per cell: 261, 105, 319, 234, 378, 480